No. 1
VASP calculation (GGA-PBE) on crystalline RbDy6Te8 at its relaxed geometry.

For the final energy, the calculation gives -4.9234 eV per atom. For the formation energy (no corrections), the calculation gives -1.34 eV per atom. The calculation puts the magnetic moment at 0.02 μB/f.u.

The structure belongs to space group P-3 (No. 147); the cell edges are 11.6875, 11.6875 and 4.4561 Å and the angles 90.00°, 90.00° and 120.00°. The distinct sites, in fractional coordinates, are Rb at (0.0000, 0.0000, 0.0000), Dy at (0.1365, 0.6497, 0.7508), Te at (0.0446, 0.3503, 0.7491) and Te at (0.3333, 0.6667, 0.2506).


No. 2
VASP calculation (GGA-PBE) on crystalline Al2Te3H at its relaxed geometry.

For the final energy, the calculation gives -3.5960 eV per atom. The calculation puts the magnetic moment at 0.00 μB/f.u.

The structure belongs to space group C2/m (No. 12); the cell edges are 17.606, 3.635 and 11.085 Å and the angles 90.00°, 99.90° and 90.00°. The distinct sites, in fractional coordinates, are Al at (0.090, 0.000, 0.057), Al at (0.224, 0.000, 0.378), Te at (0.028, 0.000, 0.816), Te at (0.141, 0.500, 0.466), Te at (0.243, 0.000, 0.152) and H at (0.093, 0.500, 0.056).


No. 3
VASP calculation (GGA-PBE) on crystalline TmScTa at its relaxed geometry.

For the final energy, the calculation gives -7.3484 eV per atom. The calculation puts the magnetic moment at 0.00 μB/f.u. As for the formation energy: 0.61 eV/f.u.

The structure belongs to space group I4mm (No. 107); the cell edges are 3.103, 3.103 and 14.665 Å and the angles 90.00°, 90.00° and 90.00°. The distinct sites, in fractional coordinates, are Tm at (0.000, 0.000, 0.000), Sc at (0.000, 0.000, 0.299) and Ta at (0.000, 0.000, 0.656).


No. 4
VASP calculation (GGA-PBE) on crystalline TiTl3Br6 at its relaxed geometry.

For the final energy, the calculation gives -3.4268 eV per atom. For the formation energy (no corrections), the calculation gives -0.92 eV per atom. The calculation puts the magnetic moment at 1.00 μB/f.u.

The structure belongs to space group Fmmm (No. 69); the cell edges are 9.393, 11.503 and 14.107 Å and the angles 90.00°, 90.00° and 90.00°. The distinct sites, in fractional coordinates, are Ti at (0.000, 0.000, 0.000), Tl at (0.000, 0.000, 0.500), Tl at (0.250, 0.250, 0.250), Br at (0.000, 0.224, 0.000) and Br at (0.197, 0.000, 0.130).


No. 5
VASP calculation (GGA-PBE) on crystalline PrErSc2 at its relaxed geometry.

For the final energy, the calculation gives -5.4424 eV per atom. The calculation puts the magnetic moment at 0.04 μB/f.u. As for the formation energy: 0.24 eV/f.u.

The structure belongs to space group R3m (No. 160, hexagonal axes); the cell edges are 3.4786, 3.4786 and 32.8436 Å and the angles 90.00°, 90.00° and 120.00°. The distinct sites, in fractional coordinates, are Pr at (0.0000, 0.0000, 0.0000), Er at (0.0000, 0.0000, 0.1661), Sc at (0.0000, 0.0000, 0.4182) and Sc at (0.0000, 0.0000, 0.5810).


No. 6
VASP calculation (GGA-PBE) on crystalline MoPdBr2 at its relaxed geometry.

For the final energy, the calculation gives -4.2003 eV per atom. For the formation energy (no corrections), the calculation gives 0.64 eV per atom. The calculation puts the magnetic moment at 4.00 μB/f.u.

The structure belongs to space group Fm-3m (No. 225); the cell edges are 6.870, 6.870 and 6.870 Å and the angles 90.00°, 90.00° and 90.00°. The distinct sites, in fractional coordinates, are Mo at (0.000, 0.000, 0.000), Pd at (0.000, 0.000, 0.500) and Br at (0.250, 0.250, 0.250).


No. 7
VASP calculation (GGA-PBE) on crystalline Be4HgPb at its relaxed geometry.

For the final energy, the calculation gives -2.5405 eV per atom. The calculation puts the magnetic moment at 0.00 μB/f.u. As for the formation energy: 3.67 eV/f.u.

The structure belongs to space group F-43m (No. 216); the cell edges are 7.059, 7.059 and 7.059 Å and the angles 90.00°, 90.00° and 90.00°. The distinct sites, in fractional coordinates, are Be at (0.124, 0.124, 0.124), Hg at (0.250, 0.250, 0.750) and Pb at (0.000, 0.000, 0.500).


No. 8
VASP calculation (GGA-PBE) on crystalline K2ZrRh at its relaxed geometry.

For the final energy, the calculation gives -3.8323 eV per atom. The calculation puts the magnetic moment at 0.50 μB/f.u. As for the formation energy: 2.77 eV/f.u.

The structure belongs to space group C2/m (No. 12); the cell edges are 5.630, 12.707 and 4.013 Å and the angles 90.00°, 133.62° and 90.00°. The distinct sites, in fractional coordinates, are K at (0.250, 0.250, 0.000), Zr at (0.000, 0.000, 0.500) and Rh at (0.000, 0.500, 0.500).


No. 9
VASP calculation (GGA-PBE) on crystalline CdPt at its relaxed geometry.

For the final energy, the calculation gives -3.6353 eV per atom. The calculation puts the magnetic moment at 0.00 μB/f.u. As for the formation energy: -0.31 eV/f.u.

The structure belongs to space group P6_3/mmc (No. 194); the cell edges are 8.3340, 8.3340 and 4.5467 Å and the angles 90.00°, 90.00° and 120.00°. The distinct sites, in fractional coordinates, are Cd at (0.2027, 0.4055, 0.2500) and Pt at (0.1110, 0.5555, 0.7500).


No. 10
VASP calculation (GGA-PBE) on crystalline Pr2SmMg6 at its relaxed geometry.

For the final energy, the calculation gives -2.7485 eV per atom. The calculation puts the magnetic moment at 0.00 μB/f.u. As for the formation energy: -0.89 eV/f.u.

The structure belongs to space group P6/mmm (No. 191); the cell edges are 9.2268, 9.2268 and 3.3480 Å and the angles 90.00°, 90.00° and 120.00°. The distinct sites, in fractional coordinates, are Pr at (0.3333, 0.6667, 0.0000), Sm at (0.0000, 0.0000, 0.0000) and Mg at (0.0000, 0.3318, 0.5000).


No. 11
VASP calculation (GGA-PBE) on crystalline AcLaPt at its relaxed geometry.

For the final energy, the calculation gives -5.8019 eV per atom. The calculation puts the magnetic moment at 0.00 μB/f.u. As for the formation energy: -2.33 eV/f.u.

The structure belongs to space group P3m1 (No. 156); the cell edges are 4.3241, 4.3241 and 6.8545 Å and the angles 90.00°, 90.00° and 120.00°. The distinct sites, in fractional coordinates, are Ac at (0.0000, 0.0000, 0.0000), La at (0.6667, 0.3333, 0.4794) and Pt at (0.3333, 0.6667, 0.2534).


No. 12
VASP calculation (GGA-PBE) on crystalline AlFe2Br at its relaxed geometry.

For the final energy, the calculation gives -5.0398 eV per atom. For the formation energy (no corrections), the calculation gives 0.55 eV per atom. The calculation puts the magnetic moment at 5.31 μB/f.u.

The structure belongs to space group C2/m (No. 12); the cell edges are 5.453, 7.907 and 2.934 Å and the angles 90.00°, 100.67° and 90.00°. The distinct sites, in fractional coordinates, are Al at (0.000, 0.000, 0.000), Fe at (0.250, 0.250, 0.500) and Br at (0.000, 0.500, 0.000).


No. 13
VASP calculation (GGA-PBE) on crystalline ZrP2IrO at its relaxed geometry.

For the final energy, the calculation gives -6.3816 eV per atom. For the formation energy (no corrections), the calculation gives 0.26 eV per atom. The calculation puts the magnetic moment at 0.01 μB/f.u.

The structure belongs to space group P4/mmm (No. 123); the cell edges are 5.084, 5.084 and 3.859 Å and the angles 90.00°, 90.00° and 90.00°. The distinct sites, in fractional coordinates, are Zr at (0.000, 0.000, 0.000), P at (0.000, 0.500, 0.000), Ir at (0.500, 0.500, 0.500) and O at (0.000, 0.000, 0.500).


No. 14
VASP calculation (GGA-PBE) on crystalline La3NdY7 at its relaxed geometry.

For the final energy, the calculation gives -5.7763 eV per atom. The calculation puts the magnetic moment at 0.00 μB/f.u. As for the formation energy: 1.26 eV/f.u.

The structure belongs to space group P-1 (No. 2); the cell edges are 6.626, 6.761 and 8.776 Å and the angles 99.42°, 98.63° and 94.93°. The distinct sites, in fractional coordinates, are La at (0.000, 0.000, 0.000), La at (0.199, 0.563, 0.160), Nd at (0.500, 0.000, 0.500), Y at (0.013, 0.766, 0.584), Y at (0.277, 0.279, 0.785), Y at (0.443, 0.795, 0.854) and Y at (0.500, 0.500, 0.500).


No. 15
VASP calculation (GGA-PBE) on crystalline ScTa2Au at its relaxed geometry.

For the final energy, the calculation gives -8.4270 eV per atom. The calculation puts the magnetic moment at 0.00 μB/f.u. As for the formation energy: -0.39 eV/f.u.

The structure belongs to space group Cmm2 (No. 35); the cell edges are 3.749, 4.511 and 8.934 Å and the angles 90.00°, 90.00° and 90.00°. The distinct sites, in fractional coordinates, are Sc at (0.000, 0.000, 0.000), Ta at (0.000, 0.000, 0.489), Ta at (0.000, 0.500, 0.733) and Au at (0.000, 0.500, 0.246).


No. 16
VASP calculation (GGA-PBE) on crystalline Ge2RuCl at its relaxed geometry.

For the final energy, the calculation gives -4.4708 eV per atom. For the formation energy (no corrections), the calculation gives 0.62 eV per atom. The calculation puts the magnetic moment at 1.04 μB/f.u.

The structure belongs to space group Fm-3m (No. 225); the cell edges are 6.596, 6.596 and 6.596 Å and the angles 90.00°, 90.00° and 90.00°. The distinct sites, in fractional coordinates, are Ge at (0.250, 0.250, 0.250), Ru at (0.000, 0.000, 0.000) and Cl at (0.000, 0.000, 0.500).


No. 17
VASP calculation (GGA-PBE) on crystalline Tb12Hg6Ru at its relaxed geometry.

For the final energy, the calculation gives -3.7502 eV per atom. The calculation puts the magnetic moment at 0.00 μB/f.u. As for the formation energy: -4.60 eV/f.u.

The structure belongs to space group R-3 (No. 148, hexagonal axes); the cell edges are 12.0409, 12.0409 and 13.3036 Å and the angles 90.00°, 90.00° and 120.00°. The distinct sites, in fractional coordinates, are Tb at (0.0336, 0.1902, 0.3767), Tb at (0.0361, 0.8474, 0.8902), Hg at (0.0058, 0.6081, 0.7573) and Ru at (0.0000, 0.0000, 0.5000).


No. 18
VASP calculation (GGA-PBE) on crystalline AcCuHPb at its relaxed geometry.

For the final energy, the calculation gives -4.1784 eV per atom. The calculation puts the magnetic moment at 0.00 μB/f.u.

The structure belongs to space group P3m1 (No. 156); the cell edges are 4.6464, 4.6464 and 4.6113 Å and the angles 90.00°, 90.00° and 120.00°. The distinct sites, in fractional coordinates, are Ac at (0.0000, 0.0000, 0.0000), Cu at (0.6667, 0.3333, 0.5777), H at (0.6667, 0.3333, 0.9331) and Pb at (0.3333, 0.6667, 0.4819).


No. 19
VASP calculation (GGA-PBE) on crystalline Sm5DyCd4 at its relaxed geometry.

For the final energy, the calculation gives -3.4267 eV per atom. The calculation puts the magnetic moment at 1.01 μB/f.u. As for the formation energy: -2.41 eV/f.u.

The structure belongs to space group P4/mmm (No. 123); the cell edges are 3.757, 3.757 and 20.438 Å and the angles 90.00°, 90.00° and 90.00°. The distinct sites, in fractional coordinates, are Sm at (0.000, 0.000, 0.000), Sm at (0.000, 0.000, 0.190), Sm at (0.000, 0.000, 0.382), Dy at (0.500, 0.500, 0.500), Cd at (0.500, 0.500, 0.095) and Cd at (0.500, 0.500, 0.287).


No. 20
VASP calculation (GGA-PBE) on crystalline YbBiAu at its relaxed geometry.

For the final energy, the calculation gives -3.2132 eV per atom. The calculation puts the magnetic moment at 0.23 μB/f.u. As for the formation energy: -0.96 eV/f.u.

The structure belongs to space group F-43m (No. 216); the cell edges are 7.092, 7.092 and 7.092 Å and the angles 90.00°, 90.00° and 90.00°. The distinct sites, in fractional coordinates, are Yb at (0.000, 0.000, 0.000), Bi at (0.250, 0.250, 0.250) and Au at (0.250, 0.250, 0.750).


No. 21
VASP calculation (GGA-PBE) on crystalline LaMoPb2 at its relaxed geometry.

For the final energy, the calculation gives -5.3687 eV per atom. The calculation puts the magnetic moment at 0.00 μB/f.u. As for the formation energy: 1.70 eV/f.u.

The structure belongs to space group Pm (No. 6); the cell edges are 3.454, 5.082 and 6.182 Å and the angles 90.00°, 103.74° and 90.00°. The distinct sites, in fractional coordinates, are La at (0.000, 0.000, 0.000), Mo at (0.818, 0.500, 0.267), Pb at (0.375, 0.500, 0.747) and Pb at (0.649, 0.000, 0.461).


No. 22
VASP calculation (GGA-PBE) on crystalline LaSm2YHo2 at its relaxed geometry.

For the final energy, the calculation gives -4.8398 eV per atom. The calculation puts the magnetic moment at 0.00 μB/f.u. As for the formation energy: 0.95 eV/f.u.

The structure belongs to space group Pnnm (No. 58); the cell edges are 6.980, 16.380 and 3.537 Å and the angles 90.00°, 90.00° and 90.00°. The distinct sites, in fractional coordinates, are La at (0.000, 0.000, 0.000), Sm at (0.247, 0.340, 0.000), Y at (0.000, 0.500, 0.500) and Ho at (0.249, 0.155, 0.500).


No. 23
VASP calculation (GGA-PBE) on crystalline Ce4H11 at its relaxed geometry.

For the final energy, the calculation gives -4.5573 eV per atom. The calculation puts the magnetic moment at 3.65 μB/f.u.

The structure belongs to space group I4/mmm (No. 139); the cell edges are 5.425, 5.425 and 10.775 Å and the angles 90.00°, 90.00° and 90.00°. The distinct sites, in fractional coordinates, are Ce at (0.000, 0.000, 0.242), Ce at (0.000, 0.500, 0.000), H at (0.000, 0.000, 0.000), H at (0.000, 0.500, 0.250) and H at (0.237, 0.237, 0.378).


No. 24
VASP calculation (GGA-PBE) on crystalline K2CaFe at its relaxed geometry.

For the final energy, the calculation gives -2.3115 eV per atom. The calculation puts the magnetic moment at 2.90 μB/f.u. As for the formation energy: 3.41 eV/f.u.

The structure belongs to space group C2/m (No. 12); the cell edges are 6.837, 13.413 and 3.899 Å and the angles 90.00°, 120.13° and 90.00°. The distinct sites, in fractional coordinates, are K at (0.250, 0.250, 0.000), Ca at (0.000, 0.000, 0.500) and Fe at (0.000, 0.500, 0.500).